{"formula": "Dy8CdAg2", "functional": "GGA-PBE", "state": "relaxed", "vol_a3_per_atom": 28.3, "magnetic_moment_mub_per_cell": 0.00, "e_form_ev_per_fu": -1.4, "lattice": [[8.898, -2.599, 0.000], [8.898, 2.599, 0.000], [-2.151, 0.000, 6.741]], "species": ["Dy", "Dy", "Dy", "Dy", "Dy", "Dy", "Dy", "Dy", "Cd", "Ag", "Ag"], "frac_coords": [[0.030, 0.030, 0.270], [0.194, 0.194, 0.808], [0.329, 0.329, 0.527], [0.407, 0.407, 0.034], [0.593, 0.593, 0.966], [0.671, 0.671, 0.473], [0.806, 0.806, 0.192], [0.970, 0.970, 0.730], [0.500, 0.500, 0.500], [0.184, 0.184, 0.210], [0.816, 0.816, 0.790]]}